Record 1
A plane-wave DFT calculation with PBE-GGA was carried out for an optimized crystal structure of Rb2Sb3Pt2.

Summary:
As for the mass density: 7.18 g/cm3. The energy is -4.1320 eV per atom.

a b c (Å): 13.131 4.455 8.627
angles (deg): 90.00 121.88 90.00
Space group C2/m (No. 12)
One atom of each set of equivalent atoms:
Rb: 0.147 0.000 0.286
Sb: 0.000 0.500 0.500
Sb: 0.143 0.500 0.940
Pt: 0.135 0.000 0.761

***

Record 2
A plane-wave DFT calculation with PBE-GGA was carried out for an optimized crystal structure of Rb2SbPt.

Summary:
As for the mass density: 4.92 g/cm3. The energy is -3.3776 eV per atom.

a b c (Å): 12.698 5.003 11.995
angles (deg): 90.00 120.28 90.00
Space group C2/c (No. 15)
One atom of each set of equivalent atoms:
Rb: 0.168 0.097 0.085
Sb: 0.000 0.387 0.250
Pt: 0.000 0.113 0.750